Entry from the Alexandria database: ScVO3 after structural relaxation (GGA+U).

Output
- Total magnetic moment: 8.00 μB per cell
- Space-group type: Pnma (62)
- Total DFT energy (no corrections): -0.312 Ha/atom

abc: 5.398 7.826 5.106
angles: 90.00 90.00 90.00
Atoms (fractional coordinates):
Sc 0.061 0.250 0.021
Sc 0.439 0.750 0.521
Sc 0.561 0.250 0.479
Sc 0.939 0.750 0.979
V 0.000 0.000 0.500
V 0.000 0.500 0.500
V 0.500 0.000 0.000
V 0.500 0.500 0.000
O 0.075 0.750 0.353
O 0.194 0.577 0.814
O 0.194 0.923 0.814
O 0.306 0.077 0.314
O 0.306 0.423 0.314
O 0.425 0.250 0.853
O 0.575 0.750 0.147
O 0.694 0.577 0.686
O 0.694 0.923 0.686
O 0.806 0.077 0.186
O 0.806 0.423 0.186
O 0.925 0.250 0.647